1.
A plane-wave DFT calculation with GGA-PBE was carried out for a relaxed structure of KTaZn.

Calculated values
For the density of states at the Fermi level, the calculation gives 27.551 states/eV/cell. The calculation puts the relative energy among the computed polymorphs at 194.02 kJ per mole of atoms. The formation energy is 2.304 eV/atom. The value obtained for the volume is 106.83 Å³/f.u.

Cell lengths 7.5321, 7.5321, 7.5321 Å; angles 90.00, 90.00, 90.00 degrees
Space group F-43m (No. 216)
Asymmetric unit:
K  0.0000  0.0000  0.0000 x4
Ta  0.2500  0.2500  0.2500 x4
Zn  0.2500  0.2500  0.7500 x4

---

2.
A plane-wave DFT calculation with GGA-PBE was carried out for a relaxed structure of KTaZn.

Calculated values
For the density of states at the Fermi level, the calculation gives 4.899 states/eV/cell. The calculation puts the relative energy among the computed polymorphs at 102.84 kJ per mole of atoms. The formation energy is 1.359 eV/atom. The value obtained for the volume is 95.80 Å³/f.u.

Cell lengths 4.3532, 4.3532, 11.6747 Å; angles 90.00, 90.00, 120.00 degrees
Space group P6_3/mmc (No. 194)
Asymmetric unit:
K  0.0000  0.0000  0.0000 x2
Ta  0.3333  0.6667  0.2500 x2
Zn  0.3333  0.6667  0.7500 x2

---

Number 1: ρ 4437 kg/m³. Number 2: ρ 4948 kg/m³.